Entry 1:
TbDyEr2P4 | PBE-GGA | optimized geometry

Results
* size of the total moment: 0.00 Bohr magnetons per cell
* calculated formation energy: -1613 meV/atom
* density: 7.19 g/cm³

Cell lengths 6.9143, 3.9943, 6.9154 Å; angles 90.00, 109.47, 90.00 degrees
Closest atoms and distances in Å follow each position.
Fractional coordinates of all 8 atoms:
Tb  0.0000  0.0000  0.0000  6 P 2.84
Dy  0.0000  0.5000  0.5000  6 P 2.83
Er  0.5000  0.0000  0.5000  6 P 2.81
Er  0.5000  0.5000  0.0000  6 P 2.81
P  0.2528  0.0000  0.7504  3 Er 2.81, 2 Dy 2.83, 1 Tb 2.84
P  0.2533  0.5000  0.2517  3 Er 2.81, 1 Dy 2.83, 2 Tb 2.84
P  0.7472  0.0000  0.2496  3 Er 2.81, 2 Dy 2.83, 1 Tb 2.84
P  0.7467  0.5000  0.7483  3 Er 2.81, 1 Dy 2.83, 2 Tb 2.84



Entry 2:
AcAl2Au4 | PBE-GGA | optimized geometry

Results
* size of the total moment: 0.00 Bohr magnetons per cell
* calculated formation energy: -603 meV/atom
* density: 12.02 g/cm³

Cell lengths 18.1376, 4.4366, 7.3427 Å; angles 90.00, 90.00, 90.00 degrees
Closest atoms and distances in Å follow each position.
Fractional coordinates of all 28 atoms:
Ac  0.1170  0.2500  0.0035  8 Au 3.30-3.56, 4 Al 3.45-3.62
Ac  0.3830  0.7500  0.5035  8 Au 3.30-3.56, 4 Al 3.45-3.62
Ac  0.6170  0.2500  0.4965  8 Au 3.30-3.56, 4 Al 3.45-3.62
Ac  0.8830  0.7500  0.9965  8 Au 3.30-3.56, 4 Al 3.45-3.62
Al  0.0436  0.7500  0.6587  6 Au 2.62-2.75
Al  0.2376  0.2500  0.4979  7 Au 2.54-2.82
Al  0.2624  0.7500  0.9979  7 Au 2.54-2.82
Al  0.4564  0.2500  0.1587  6 Au 2.62-2.75
Al  0.5436  0.7500  0.8413  6 Au 2.62-2.75
Al  0.7376  0.2500  0.0021  7 Au 2.54-2.82
Al  0.7624  0.7500  0.5021  7 Au 2.54-2.82
Al  0.9564  0.2500  0.3413  6 Au 2.62-2.75
Au  0.0310  0.7500  0.2605  3 Al 2.67-2.93, 1 Au 2.97
Au  0.0963  0.2500  0.4855  4 Al 2.56-2.75
Au  0.1869  0.7500  0.6997  4 Al 2.58-2.82
Au  0.1948  0.7500  0.3012  3 Al 2.54-2.76
Au  0.3052  0.2500  0.8012  3 Al 2.54-2.76
Au  0.3131  0.2500  0.1997  4 Al 2.58-2.82
Au  0.4037  0.7500  0.9855  4 Al 2.56-2.75
Au  0.4690  0.2500  0.7605  3 Al 2.67-2.93, 1 Au 2.97
Au  0.5310  0.7500  0.2395  3 Al 2.67-2.93, 1 Au 2.97
Au  0.5963  0.2500  0.0145  4 Al 2.56-2.75
Au  0.6869  0.7500  0.8003  4 Al 2.58-2.82
Au  0.6948  0.7500  0.1988  3 Al 2.54-2.76
Au  0.8052  0.2500  0.6988  3 Al 2.54-2.76
Au  0.8131  0.2500  0.3003  4 Al 2.58-2.82
Au  0.9037  0.7500  0.5145  4 Al 2.56-2.75
Au  0.9690  0.2500  0.7395  3 Al 2.67-2.93, 1 Au 2.97